Entry 1:
Entry from Alexandria: an optimized crystal structure of NaZn2Cd2 (PBE).

Summary:
The electronic total energy comes out at -5.66 eV per cell. The calculation puts the formation energy at 0.7 kJ/mol of atoms. As for the total magnetic moment: 0.00 μB per formula unit. As for the polymorph energy (0 for the lowest one): 46 meV per atom.

CIF file:
```
data_NaZn2Cd2
_space_group_name_H-M_alt 'P 1'
_space_group_IT_number 1
_space_group_name_Hall 'P 1'
_cell_length_a 6.5989
_cell_length_b 6.5989
_cell_length_c 6.5989
_cell_angle_alpha 140.36
_cell_angle_beta 140.36
_cell_angle_gamma 57.31
loop_
_atom_site_label
_atom_site_type_symbol
_atom_site_fract_x
_atom_site_fract_y
_atom_site_fract_z
Na1 Na 0.0000 0.0000 0.0000
Zn1 Zn 0.3945 0.3945 0.0000
Zn2 Zn 0.6055 0.6055 0.0000
Cd1 Cd 0.2500 0.7500 0.5000
Cd2 Cd 0.7500 0.2500 0.5000
```


Entry 2:
Entry from Alexandria: an optimized crystal structure of Ac2ZnSi3Rh4 (PBE).

Summary:
The electronic total energy comes out at -63.96 eV per cell. As for the total magnetic moment: 0.00 μB per formula unit. The uncorrected formation energy comes out at -0.8796 eV per atom.

CIF file:
```
data_Ac2ZnSi3Rh4
_space_group_name_H-M_alt 'P 1'
_space_group_IT_number 1
_space_group_name_Hall 'P 1'
_cell_length_a 4.2649
_cell_length_b 4.2649
_cell_length_c 10.3201
_cell_angle_alpha 90.00
_cell_angle_beta 90.00
_cell_angle_gamma 90.00
loop_
_atom_site_label
_atom_site_type_symbol
_atom_site_fract_x
_atom_site_fract_y
_atom_site_fract_z
Ac1 Ac 0.0000 0.5000 0.2464
Ac2 Ac 0.5000 0.0000 0.7536
Zn1 Zn 0.5000 0.5000 0.0000
Si1 Si 0.0000 0.0000 0.0000
Si2 Si 0.0000 0.5000 0.6212
Si3 Si 0.5000 0.0000 0.3788
Rh1 Rh 0.0000 0.0000 0.5000
Rh2 Rh 0.0000 0.5000 0.8653
Rh3 Rh 0.5000 0.0000 0.1347
Rh4 Rh 0.5000 0.5000 0.5000
```


Entry 3:
Entry from Alexandria: an optimized crystal structure of MgP2Cl (PBE).

Summary:
The electronic total energy comes out at -12.14 eV per cell. As for the total magnetic moment: 0.00 μB per formula unit. As for the polymorph energy (0 for the lowest one): 1106 meV per atom. The uncorrected formation energy comes out at 0.5308 eV per atom.

CIF file:
```
data_MgP2Cl
_space_group_name_H-M_alt 'P 1'
_space_group_IT_number 1
_space_group_name_Hall 'P 1'
_cell_length_a 4.6834
_cell_length_b 4.6834
_cell_length_c 4.6834
_cell_angle_alpha 60.00
_cell_angle_beta 60.00
_cell_angle_gamma 60.00
loop_
_atom_site_label
_atom_site_type_symbol
_atom_site_fract_x
_atom_site_fract_y
_atom_site_fract_z
Mg1 Mg 0.0000 0.0000 0.0000
P1 P 0.2500 0.2500 0.2500
P2 P 0.7500 0.7500 0.7500
Cl1 Cl 0.5000 0.5000 0.5000
```


Entry 4:
Entry from Alexandria: an optimized crystal structure of Pm6PrEr2 (PBE).

Summary:
The electronic total energy comes out at -41.43 eV per cell. The calculation puts the formation energy at 10.5 kJ/mol of atoms. As for the total magnetic moment: 0.00 μB per formula unit. As for the polymorph energy (0 for the lowest one): 0 meV per atom.

CIF file:
```
data_Pm6PrEr2
_space_group_name_H-M_alt 'P 1'
_space_group_IT_number 1
_space_group_name_Hall 'P 1'
_cell_length_a 10.1241
_cell_length_b 10.1241
_cell_length_c 3.6575
_cell_angle_alpha 94.15
_cell_angle_beta 94.15
_cell_angle_gamma 125.32
loop_
_atom_site_label
_atom_site_type_symbol
_atom_site_fract_x
_atom_site_fract_y
_atom_site_fract_z
Pm1 Pm 0.0006 0.6622 0.1752
Pm2 Pm 0.1653 0.1653 0.3263
Pm3 Pm 0.3378 0.9994 0.8248
Pm4 Pm 0.6622 0.0006 0.1752
Pm5 Pm 0.8347 0.8347 0.6737
Pm6 Pm 0.9994 0.3378 0.8248
Pr1 Pr 0.5000 0.5000 0.0000
Er1 Er 0.3330 0.6670 0.5000
Er2 Er 0.6670 0.3330 0.5000
```


| no. | calculated density (g/cm³) |
| --- | --- |
| 1 | 5.42 |
| 2 | 8.98 |
| 3 | 2.78 |
| 4 | 7.40 |